# PBE-GGA Er2Lu6Te, relaxed
data_Er2Lu6Te
_chemical_formula_sum 'Er2 Lu6 Te1'
_space_group_name_H-M_alt 'P 1'
_space_group_IT_number 1
_cell_length_a 9.028
_cell_length_b 9.028
_cell_length_c 3.697
_cell_angle_alpha 90.00
_cell_angle_beta 90.00
_cell_angle_gamma 120.00
loop_
_space_group_symop_operation_xyz
'x,y,z'
loop_
_atom_site_label
_atom_site_fract_x
_atom_site_fract_y
_atom_site_fract_z
Er1 0.333 0.667 0.000
Er2 0.667 0.333 0.000
Lu1 0.000 0.277 0.000
Lu2 0.000 0.614 0.500
Lu3 0.277 0.000 0.000
Lu4 0.386 0.386 0.500
Lu5 0.614 0.000 0.500
Lu6 0.723 0.723 0.000
Te1 0.000 0.000 0.500
# Crystal system: hexagonal
# Raw total energy: -41.9 eV for the cell shown



# PBE-GGA Cs3Er2Cl9, relaxed
data_Cs3Er2Cl9
_chemical_formula_sum 'Cs3 Er2 Cl9'
_space_group_name_H-M_alt 'P 1'
_space_group_IT_number 1
_cell_length_a 7.494
_cell_length_b 7.494
_cell_length_c 9.304
_cell_angle_alpha 90.00
_cell_angle_beta 90.00
_cell_angle_gamma 120.00
loop_
_space_group_symop_operation_xyz
'x,y,z'
loop_
_atom_site_label
_atom_site_fract_x
_atom_site_fract_y
_atom_site_fract_z
Cs1 0.000 0.000 0.000
Cs2 0.333 0.667 0.648
Cs3 0.667 0.333 0.352
Er1 0.333 0.667 0.180
Er2 0.667 0.333 0.820
Cl1 0.000 0.503 0.000
Cl2 0.166 0.337 0.322
Cl3 0.171 0.834 0.322
Cl4 0.337 0.166 0.678
Cl5 0.497 0.497 0.000
Cl6 0.503 0.000 0.000
Cl7 0.663 0.829 0.322
Cl8 0.829 0.663 0.678
Cl9 0.834 0.171 0.678
# Crystal system: trigonal
# Raw total energy: -59.2 eV for the cell shown



# PBE-GGA NaNbO3, relaxed
data_NaNbO3
_chemical_formula_sum 'Na2 Nb2 O6'
_space_group_name_H-M_alt 'P 1'
_space_group_IT_number 1
_cell_length_a 6.005
_cell_length_b 6.005
_cell_length_c 6.005
_cell_angle_alpha 53.09
_cell_angle_beta 53.09
_cell_angle_gamma 53.09
loop_
_space_group_symop_operation_xyz
'x,y,z'
loop_
_atom_site_label
_atom_site_fract_x
_atom_site_fract_y
_atom_site_fract_z
Na1 0.142 0.142 0.142
Na2 0.858 0.858 0.858
Nb1 0.353 0.353 0.353
Nb2 0.647 0.647 0.647
O1 0.061 0.692 0.468
O2 0.308 0.532 0.939
O3 0.468 0.061 0.692
O4 0.532 0.939 0.308
O5 0.692 0.468 0.061
O6 0.939 0.308 0.532
# Crystal system: trigonal
# Raw total energy: -76.8 eV for the cell shown



# PBE-GGA TaCdGe, relaxed
data_TaCdGe
_chemical_formula_sum 'Ta4 Cd4 Ge4'
_space_group_name_H-M_alt 'P 1'
_space_group_IT_number 1
_cell_length_a 6.420
_cell_length_b 6.420
_cell_length_c 6.420
_cell_angle_alpha 90.00
_cell_angle_beta 90.00
_cell_angle_gamma 90.00
loop_
_space_group_symop_operation_xyz
'x,y,z'
loop_
_atom_site_label
_atom_site_fract_x
_atom_site_fract_y
_atom_site_fract_z
Ta1 0.000 0.000 0.000
Ta2 0.000 0.500 0.500
Ta3 0.500 0.000 0.500
Ta4 0.500 0.500 0.000
Cd1 0.250 0.250 0.750
Cd2 0.250 0.750 0.250
Cd3 0.750 0.250 0.250
Cd4 0.750 0.750 0.750
Ge1 0.250 0.250 0.250
Ge2 0.250 0.750 0.750
Ge3 0.750 0.250 0.750
Ge4 0.750 0.750 0.250
# Crystal system: cubic
# Raw total energy: -61.3 eV for the cell shown



# PBE-GGA ReGeBi, relaxed
data_ReGeBi
_chemical_formula_sum 'Re4 Ge4 Bi4'
_space_group_name_H-M_alt 'P 1'
_space_group_IT_number 1
_cell_length_a 6.407
_cell_length_b 6.407
_cell_length_c 6.407
_cell_angle_alpha 90.00
_cell_angle_beta 90.00
_cell_angle_gamma 90.00
loop_
_space_group_symop_operation_xyz
'x,y,z'
loop_
_atom_site_label
_atom_site_fract_x
_atom_site_fract_y
_atom_site_fract_z
Re1 0.000 0.000 0.000
Re2 0.000 0.500 0.500
Re3 0.500 0.000 0.500
Re4 0.500 0.500 0.000
Ge1 0.250 0.250 0.250
Ge2 0.250 0.750 0.750
Ge3 0.750 0.250 0.750
Ge4 0.750 0.750 0.250
Bi1 0.250 0.250 0.750
Bi2 0.250 0.750 0.250
Bi3 0.750 0.250 0.250
Bi4 0.750 0.750 0.750
# Crystal system: cubic
# Energy above the lowest structure with this stoichiometry: 0 kJ/mol of formula units



# PBE-GGA KTaNO, relaxed
data_KTaNO
_chemical_formula_sum 'K2 Ta2 N2 O2'
_space_group_name_H-M_alt 'P 1'
_space_group_IT_number 1
_cell_length_a 3.490
_cell_length_b 6.920
_cell_length_c 6.024
_cell_angle_alpha 90.00
_cell_angle_beta 90.00
_cell_angle_gamma 90.00
loop_
_space_group_symop_operation_xyz
'x,y,z'
loop_
_atom_site_label
_atom_site_fract_x
_atom_site_fract_y
_atom_site_fract_z
K1 0.000 0.132 0.000
K2 0.000 0.868 0.500
Ta1 0.500 0.397 0.480
Ta2 0.500 0.603 0.980
N1 0.000 0.269 0.452
N2 0.000 0.731 0.952
O1 0.500 0.364 0.822
O2 0.500 0.636 0.322
# Crystal system: orthorhombic
# Energy above the lowest structure with this stoichiometry: 19 kJ/mol of formula units